Entry 1:
Li3Ac3Ge8 | PBE-GGA | relaxed

Values from the calculation:
Calculated formation energy: -6.51 eV/f.u.
N(E_F): 0.374 states/eV/atom
Uncorrected energy: -4.39 eV/atom

a = 4.180 Å, b = 9.036 Å, c = 17.176 Å
α = 90.00°, β = 90.00°, γ = 90.00°
Space group Immm (No. 71)
Inequivalent atoms, fractional coordinates:
1 Li 0.000 0.000 0.000 (multiplicity 2)
2 Li 0.000 0.305 0.500 (multiplicity 4)
3 Ac 0.000 0.500 0.000 (multiplicity 2)
4 Ac 0.000 0.500 0.268 (multiplicity 4)
5 Ge 0.000 0.147 0.364 (multiplicity 8)
6 Ge 0.000 0.188 0.118 (multiplicity 8)

=====

Entry 2:
Li7Ac3Ge4 | PBE-GGA | relaxed

Values from the calculation:
Calculated formation energy: -6.73 eV/f.u.
N(E_F): 0.196 states/eV/atom
Uncorrected energy: -3.64 eV/atom

a = 17.400 Å, b = 4.734 Å, c = 8.775 Å
α = 90.00°, β = 119.92°, γ = 90.00°
Space group C2/m (No. 12)
Inequivalent atoms, fractional coordinates:
1 Li 0.000 0.000 0.000 (multiplicity 2)
2 Li 0.013 0.500 0.204 (multiplicity 4)
3 Li 0.139 0.000 0.939 (multiplicity 4)
4 Li 0.163 0.500 0.509 (multiplicity 4)
5 Ac 0.000 0.000 0.500 (multiplicity 2)
6 Ac 0.227 0.500 0.220 (multiplicity 4)
7 Ge 0.130 0.000 0.319 (multiplicity 4)
8 Ge 0.138 0.500 0.786 (multiplicity 4)

=====

Entry 3:
Li4AcGe4 | PBE-GGA | relaxed

Values from the calculation:
Calculated formation energy: -3.59 eV/f.u.
N(E_F): 0.289 states/eV/atom
Uncorrected energy: -3.76 eV/atom

a = 6.313 Å, b = 6.313 Å, c = 8.841 Å
α = 90.00°, β = 90.00°, γ = 90.00°
Space group P4_2/nmc (No. 137, origin choice 2)
Inequivalent atoms, fractional coordinates:
1 Li 0.002 0.250 0.144 (multiplicity 8)
2 Ac 0.250 0.750 0.250 (multiplicity 2)
3 Ge 0.058 0.250 0.440 (multiplicity 8)

=====

Entry 4:
LiAc2Ge | PBE-GGA | relaxed

Values from the calculation:
Calculated formation energy: -1.49 eV/f.u.
Excess energy over the best structure of this formula in the dataset: 0.00 kJ per mole of atoms
N(E_F): 1.004 states/eV/atom
Uncorrected energy: -4.06 eV/atom

a = 6.780 Å, b = 4.702 Å, c = 8.033 Å
α = 90.00°, β = 107.24°, γ = 90.00°
Space group P2_1/m (No. 11)
Inequivalent atoms, fractional coordinates:
1 Li 0.087 0.250 0.200 (multiplicity 2)
2 Ac 0.259 0.750 0.564 (multiplicity 2)
3 Ac 0.352 0.750 0.102 (multiplicity 2)
4 Ge 0.124 0.250 0.812 (multiplicity 2)

=====

Entry 5:
Li5Ac2Ge3 | PBE-GGA | relaxed

Values from the calculation:
Calculated formation energy: -2.36 eV/f.u.
N(E_F): 0.683 states/eV/atom
Uncorrected energy: -3.40 eV/atom

a = 4.583 Å, b = 4.583 Å, c = 11.567 Å
α = 90.00°, β = 90.00°, γ = 90.00°
Space group P-4m2 (No. 115)
Inequivalent atoms, fractional coordinates:
1 Li 0.000 0.000 0.000 (multiplicity 1)
2 Li 0.000 0.000 0.500 (multiplicity 1)
3 Li 0.000 0.500 0.347 (multiplicity 2)
4 Li 0.500 0.500 0.500 (multiplicity 1)
5 Ac 0.000 0.500 0.791 (multiplicity 2)
6 Ge 0.000 0.500 0.122 (multiplicity 2)
7 Ge 0.500 0.500 0.000 (multiplicity 1)

=====

Entry 6:
LiAc12Ge7 | PBE-GGA | relaxed

Values from the calculation:
Calculated formation energy: -7.46 eV/f.u.
N(E_F): 1.196 states/eV/atom
Uncorrected energy: -4.55 eV/atom

a = 16.1206 Å, b = 16.1206 Å, c = 9.5606 Å
α = 90.00°, β = 90.00°, γ = 120.00°
Space group R-3 (No. 148, hexagonal axes)
Inequivalent atoms, fractional coordinates:
1 Li 0.0000 0.0000 0.0000 (multiplicity 3)
2 Ac 0.0206 0.5830 0.3241 (multiplicity 18)
3 Ac 0.0458 0.8720 0.2771 (multiplicity 18)
4 Ge 0.0000 0.0000 0.5000 (multiplicity 3)
5 Ge 0.0469 0.8679 0.9236 (multiplicity 18)